No. 1
Below is MgCuTe after structural relaxation, with properties calculated at the GGA-PBE level.

a = 4.385 Å, b = 6.881 Å, c = 9.448 Å
α = 90.00°, β = 106.40°, γ = 90.00°
Positions (direct):
Mg  0.500  0.927  0.000
Mg  0.000  0.860  0.500
Mg  0.000  0.360  0.000
Mg  0.500  0.427  0.500
Cu  0.897  0.528  0.357
Cu  0.897  0.028  0.857
Cu  0.103  0.528  0.643
Cu  0.103  0.028  0.143
Te  0.299  0.154  0.706
Te  0.299  0.654  0.206
Te  0.701  0.154  0.294
Te  0.701  0.654  0.794

Calculated values
V ... 22.8 Å³ per atom
Raw formation energy ... -277 meV per atom
E_tot ... -38.655 eV per cell

=====

No. 2
Below is TbEr2Mg after structural relaxation, with properties calculated at the GGA-PBE level.

a = 3.551 Å, b = 3.551 Å, c = 9.251 Å
α = 90.00°, β = 90.00°, γ = 90.00°
Positions (direct):
Er  0.000  0.000  0.236
Er  0.000  0.000  0.764
Mg  0.500  0.500  0.000
Tb  0.500  0.500  0.500

Calculated values
V ... 29.2 Å³ per atom
E_tot ... -15.450 eV per cell
Calculated formation energy ... -0.02 eV/atom

=====

No. 3
Below is CaEuInAg after structural relaxation, with properties calculated at the GGA-PBE level.

a = 5.427 Å, b = 5.427 Å, c = 5.427 Å
α = 60.00°, β = 60.00°, γ = 60.00°
Positions (direct):
Ag  0.250  0.250  0.250
Ca  0.500  0.500  0.500
Eu  0.000  0.000  0.000
In  0.750  0.750  0.750

Calculated values
V ... 28.3 Å³ per atom
E_tot ... -19.320 eV per cell
Calculated formation energy ... -0.36 eV/atom

=====

Q: The highest E_tot belongs to which entry?
A: TbEr2Mg